No. 1
First-principles (PBE) data for a relaxed structure of SrFeN3, as listed in OQMD.

The structure in POSCAR format:
```
SrFeN3
1.0
1.1249 3.6066 0.4623
-2.8770 0.5833 2.4226
2.2252 -1.0657 2.8992
N Fe Sr
3 1 1
Cartesian
0.5625 1.8033 0.2312
1.1126 -0.5329 1.4496
-1.4385 0.2917 1.2113
0.0000 0.0000 0.0000
0.2366 1.5621 2.8921
```

SG: Pm-3m (221)
electronic total energy: -6.559 eV per atom


No. 2
First-principles (PBE) data for a relaxed structure of ScOsPb2O6, as listed in OQMD.

The structure in POSCAR format:
```
ScOsPb2O6
1.0
5.1416 -2.9687 0.0000
5.1416 2.9687 0.0000
-3.4284 0.0000 4.8495
Sc O Os Pb
1 6 1 2
Cartesian
0.0000 0.0000 0.0000
-1.7142 0.0000 2.4248
2.5708 -1.4843 0.0000
0.8566 1.4843 2.4248
5.1416 0.0000 0.0000
2.5708 1.4843 0.0000
0.8566 -1.4843 2.4248
3.4274 0.0000 2.4248
-0.0005 0.0000 3.6371
6.8553 0.0000 1.2124
```

SG: Fm-3m (225)
electronic total energy: -5.569 eV per atom
relative energy among the computed polymorphs: 1.539 eV/atom


No. 3
First-principles (PBE) data for a relaxed structure of TbDyBrNCl2, as listed in OQMD.

The structure in POSCAR format:
```
TbDyBrNCl2
1.0
-7.8207 4.5528 0.9380
-9.0427 0.9680 0.2532
6.1566 -3.7450 8.6179
Br Cl Dy N Tb
2 4 2 2 2
Cartesian
0.7894 -0.6752 2.1258
-11.4963 2.4510 7.6832
0.2987 -1.1662 5.5714
-11.2818 3.6717 0.9106
0.5750 -1.8959 8.8984
-11.0055 2.9420 4.2376
-3.8015 0.3130 5.1448
-6.9053 1.4628 4.6642
-5.6417 0.7097 6.3517
-5.0651 1.0661 3.4573
-13.2745 3.9881 2.8103
2.5677 -2.2123 6.9987
```

SG: C2/m (12)
electronic total energy: -5.856 eV per atom
relative energy among the computed polymorphs: 0.000 eV/atom


No. 4
First-principles (PBE) data for a relaxed structure of UIrPb, as listed in OQMD.

The structure in POSCAR format:
```
UIrPb
1.0
0.0000 3.4119 3.4119
3.4119 0.0000 3.4119
3.4119 3.4119 0.0000
U Pb Ir
1 1 1
Cartesian
1.7060 1.7060 1.7060
3.4119 3.4119 3.4119
0.0000 0.0000 0.0000
```

SG: F-43m (216)
electronic total energy: -7.298 eV per atom


No. 5
First-principles (PBE) data for a relaxed structure of RbSnW, as listed in OQMD.

The structure in POSCAR format:
```
RbSnW
1.0
0.0000 3.5917 3.5917
3.5917 0.0000 3.5917
3.5917 3.5917 0.0000
Rb Sn W
1 1 1
Cartesian
1.7959 1.7959 1.7959
5.3876 5.3876 5.3876
0.0000 0.0000 0.0000
```

SG: F-43m (216)
electronic total energy: -4.331 eV per atom
relative energy among the computed polymorphs: 0.000 eV/atom


No. 6
First-principles (PBE) data for a relaxed structure of YBe2Pt2, as listed in OQMD.

The structure in POSCAR format:
```
YBe2Pt2
1.0
-0.8438 2.0919 -3.2987
-3.9021 -0.6042 0.6149
2.1615 3.2628 3.9368
Be Pt Y
2 2 1
Cartesian
-0.1590 3.0113 1.9503
-2.4255 1.7392 -0.6972
-0.5276 3.0493 -0.3519
-2.0568 1.7012 1.6049
0.0000 0.0000 0.0000
```

SG: I4/mmm (139)
electronic total energy: -6.073 eV per atom
relative energy among the computed polymorphs: 0.000 eV/atom


No. 7
First-principles (PBE) data for a relaxed structure of YAs2Pd, as listed in OQMD.

The structure in POSCAR format:
```
YAs2Pd
1.0
2.4967 -4.1014 0.3868
-1.5572 -3.9855 -2.2128
2.3911 -1.7322 -3.8061
As Y Pd
2 1 1
Cartesian
0.0000 0.0000 0.0000
2.4980 -7.3643 -4.2241
0.8327 -2.4548 -1.4080
1.6653 -4.9096 -2.8161
```

SG: F-43m (216)
electronic total energy: -5.713 eV per atom


No. 8
First-principles (PBE) data for a relaxed structure of HfCdNO, as listed in OQMD.

The structure in POSCAR format:
```
HfCdNO
1.0
-0.5931 -2.2559 2.6551
3.4840 -0.3631 0.4698
-0.0631 6.2845 5.3254
N Hf O Cd
2 2 2 2
Cartesian
0.6755 4.0533 4.7708
2.1523 -0.3878 3.6795
0.7133 0.2800 1.5733
2.1144 3.3855 6.8770
2.4647 -0.8363 1.0161
0.4261 -1.7827 2.1088
2.4332 2.3059 3.6788
0.3946 1.3596 4.7715
```

SG: P4/nmm (129)
electronic total energy: -6.902 eV per atom
relative energy among the computed polymorphs: 0.586 eV/atom